No. 1
Entry from OQMD via LeMat-Bulk: CoNiSnSe3 after structural relaxation (GGA-PBE).

## Properties
* relative energy among the computed polymorphs: 0 meV per atom
* total moment: 0.0 μB/cell
* electronic total energy: -4.7789 eV per atom

The structure in CIF format:
```
data_CoNiSnSe3
_symmetry_space_group_name_H-M 'C m c m'
_symmetry_Int_Tables_number 63
_symmetry_space_group_name_Hall '-C 2c 2'
_cell_length_a 3.5458
_cell_length_b 12.6755
_cell_length_c 10.0322
_cell_angle_alpha 90.00
_cell_angle_beta 90.00
_cell_angle_gamma 90.00
loop_
_atom_site_label
_atom_site_fract_x
_atom_site_fract_y
_atom_site_fract_z
_atom_site_occupancy
Co1 0.0000 0.0000 0.0000 1
Ni1 0.0000 0.3733 0.2500 1
Sn1 0.0000 0.2795 0.7500 1
Se1 0.0000 0.0073 0.2500 1
Se2 0.0000 0.3758 0.0142 1
```

=====

No. 2
Entry from OQMD via LeMat-Bulk: K2Cd3Au2 after structural relaxation (GGA-PBE).

## Properties
* electronic total energy: -1.8856 eV per atom

The structure in CIF format:
```
data_K2Cd3Au2
_symmetry_space_group_name_H-M 'C 1 2/m 1'
_symmetry_Int_Tables_number 12
_symmetry_space_group_name_Hall '-C 2y'
_cell_length_a 11.9954
_cell_length_b 4.7353
_cell_length_c 8.0397
_cell_angle_alpha 90.00
_cell_angle_beta 119.69
_cell_angle_gamma 90.00
loop_
_atom_site_label
_atom_site_fract_x
_atom_site_fract_y
_atom_site_fract_z
_atom_site_occupancy
K1 0.1441 0.0000 0.2737 1
Cd1 0.0000 0.5000 0.5000 1
Cd2 0.1448 0.5000 0.9337 1
Au1 0.1257 0.0000 0.7042 1
```

=====

No. 3
Entry from OQMD via LeMat-Bulk: Gd4GeCl5 after structural relaxation (GGA-PBE).

## Properties
* total moment: 0.0 μB/cell
* electronic total energy: -4.9665 eV per atom

The structure in CIF format:
```
data_Gd4GeCl5
_symmetry_space_group_name_H-M 'C 1 2/m 1'
_symmetry_Int_Tables_number 12
_symmetry_space_group_name_Hall '-C 2y'
_cell_length_a 17.6432
_cell_length_b 3.9954
_cell_length_c 8.1770
_cell_angle_alpha 90.00
_cell_angle_beta 102.38
_cell_angle_gamma 90.00
loop_
_atom_site_label
_atom_site_fract_x
_atom_site_fract_y
_atom_site_fract_z
_atom_site_occupancy
Gd1 0.9999 0.0000 0.2339 1
Gd2 0.1566 0.5000 0.0837 1
Ge1 0.0000 0.5000 0.0000 1
Cl1 0.0000 0.5000 0.5000 1
Cl2 0.1648 0.0000 0.3211 1
Cl3 0.1724 0.0000 0.8472 1
```

=====

No. 4
Entry from OQMD via LeMat-Bulk: LuAlAsO after structural relaxation (GGA-PBE).

## Properties
* relative energy among the computed polymorphs: 95 meV per atom
* total moment: 0.0 μB/cell
* electronic total energy: -6.0460 eV per atom

The structure in CIF format:
```
data_LuAlAsO
_symmetry_space_group_name_H-M 'P 4/n m m'
_symmetry_Int_Tables_number 129
_cell_length_a 4.1230
_cell_length_b 4.1230
_cell_length_c 10.1085
_cell_angle_alpha 90.00
_cell_angle_beta 90.00
_cell_angle_gamma 90.00
loop_
_symmetry_equiv_pos_as_xyz
'x,y,z'
'-x,-y,-z'
'-y+1/2,x,z'
'y+1/2,-x,-z'
'-x+1/2,-y+1/2,z'
'x+1/2,y+1/2,-z'
'y,-x+1/2,z'
'-y,x+1/2,-z'
'x+1/2,-y,-z'
'-x+1/2,y,z'
'-y,-x,-z'
'y,x,z'
'-x,y+1/2,-z'
'x,-y+1/2,z'
'y+1/2,x+1/2,-z'
'-y+1/2,-x+1/2,z'
loop_
_atom_site_label
_atom_site_fract_x
_atom_site_fract_y
_atom_site_fract_z
_atom_site_occupancy
Lu1 0.2500 0.2500 0.0816 1
Al1 0.2500 0.7500 0.5000 1
As1 0.2500 0.2500 0.3557 1
O1 0.2500 0.7500 0.0000 1
```

=====

No. 5
Entry from OQMD via LeMat-Bulk: BaZr2 after structural relaxation (GGA-PBE).

## Properties
* relative energy among the computed polymorphs: 265 meV per atom
* total moment: 0.0 μB/cell
* electronic total energy: -5.7188 eV per atom

The structure in CIF format:
```
data_BaZr2
_symmetry_space_group_name_H-M 'C m c m'
_symmetry_Int_Tables_number 63
_symmetry_space_group_name_Hall '-C 2c 2'
_cell_length_a 3.2600
_cell_length_b 18.2272
_cell_length_c 5.8267
_cell_angle_alpha 90.00
_cell_angle_beta 90.00
_cell_angle_gamma 90.00
loop_
_atom_site_label
_atom_site_fract_x
_atom_site_fract_y
_atom_site_fract_z
_atom_site_occupancy
Ba1 0.0000 0.1231 0.2500 1
Zr1 0.0000 0.2024 0.7500 1
Zr2 0.0000 0.4475 0.2500 1
```

=====

No. 6
Entry from OQMD via LeMat-Bulk: TaTlCuOs after structural relaxation (GGA-PBE).

## Properties
* relative energy among the computed polymorphs: 140 meV per atom
* total moment: 0.0 μB/cell
* electronic total energy: -6.7366 eV per atom

The structure in CIF format:
```
data_TaTlCuOs
_symmetry_space_group_name_H-M 'F -4 3 m'
_symmetry_Int_Tables_number 216
_symmetry_space_group_name_Hall 'F -4 2 3'
_cell_length_a 6.4474
_cell_length_b 6.4474
_cell_length_c 6.4474
_cell_angle_alpha 90.00
_cell_angle_beta 90.00
_cell_angle_gamma 90.00
loop_
_atom_site_label
_atom_site_fract_x
_atom_site_fract_y
_atom_site_fract_z
_atom_site_occupancy
Ta1 0.0000 0.0000 0.0000 1
Tl1 0.2500 0.2500 0.2500 1
Cu1 0.0000 0.0000 0.5000 1
Os1 0.2500 0.2500 0.7500 1
```